Run 1
Pb5C: optimized geometry, PBE-GGA.

N(E_F) ... 4.1 states/eV per cell

a b c (Å): 3.412 3.412 13.952
angles (deg): 90.00 90.00 90.00
Fractional positions:
1 Pb 0.000 0.000 0.891
2 Pb 0.000 0.000 0.109
3 Pb 0.500 0.500 0.686
4 Pb 0.500 0.500 0.314
5 Pb 0.000 0.000 0.500
6 C 0.500 0.500 0.000


Run 2
Pb5C: optimized geometry, PBE-GGA.

N(E_F) ... 3.5 states/eV per cell

a b c (Å): 5.878 5.878 5.566
angles (deg): 90.00 90.00 120.00
Fractional positions:
1 Pb 0.686 0.000 0.000
2 Pb 0.314 0.314 0.000
3 Pb 0.000 0.686 0.000
4 Pb 0.667 0.333 0.500
5 Pb 0.333 0.667 0.500
6 C 0.000 0.000 0.500


So which one wins? Going from most stable to least: run 1, run 2.


Run 1
PbC2: optimized geometry, PBE-GGA.

N(E_F) ... 2.6 states/eV per cell

a b c (Å): 10.238 10.238 4.343
angles (deg): 90.00 90.00 164.98
Fractional positions:
1 Pb 0.304 0.696 0.750
2 Pb 0.696 0.304 0.250
3 C 0.558 0.442 0.750
4 C 0.056 0.944 0.750
5 C 0.944 0.056 0.250
6 C 0.442 0.558 0.250


Run 2
PbC2: optimized geometry, PBE-GGA.

N(E_F) ... 0.9 states/eV per cell

a b c (Å): 3.742 3.742 8.842
angles (deg): 90.00 90.00 120.00
Fractional positions:
1 Pb 0.667 0.333 0.750
2 Pb 0.333 0.667 0.250
3 C 0.000 0.000 0.928
4 C 0.000 0.000 0.428
5 C 0.000 0.000 0.072
6 C 0.000 0.000 0.572


Run 3
PbC2: optimized geometry, PBE-GGA.

N(E_F) ... 0.0 states/eV per cell

a b c (Å): 6.798 6.798 6.798
angles (deg): 145.22 145.22 50.00
Fractional positions:
1 Pb 0.000 0.000 0.000
2 Pb 0.750 0.250 0.500
3 C 0.552 0.552 0.000
4 C 0.198 0.698 0.500
5 C 0.448 0.448 0.000
6 C 0.302 0.802 0.500


Run 4
PbC2: optimized geometry, PBE-GGA.

N(E_F) ... 4.1 states/eV per cell

a b c (Å): 4.473 4.473 4.861
angles (deg): 90.00 90.00 120.00
Fractional positions:
1 Pb 0.667 0.333 0.250
2 Pb 0.333 0.667 0.750
3 C 0.000 0.000 0.000
4 C 0.000 0.000 0.500
5 C 0.333 0.667 0.250
6 C 0.667 0.333 0.750


So which one wins? Going from most stable to least: run 1, run 2, run 3, run 4.